The following is a DFT calculation (PBE) of Re17W12 after structural relaxation.

The spin magnetization is 0.007 μB per formula unit. The value obtained for the energy of formation from the pure elements is 6.83 eV per formula unit. For the total energy, the calculation gives -12.410 eV/atom. As for the excess energy over the best structure of this formula in the dataset: 127 meV/atom.

It has space group I-43m (No. 217), with a = 9.706 Å, b = 9.706 Å, c = 9.706 Å, α = 90.00°, β = 90.00° and γ = 90.00°. The distinct sites, in fractional coordinates, are Re at (0.000, 0.000, 0.000), Re at (0.051, 0.362, 0.638), Re at (0.184, 0.184, 0.184) and W at (0.093, 0.093, 0.715).